Entry from Alexandria: Cs3Rb12H5 after structural relaxation (PBE-GGA).

The structure belongs to space group Ia-3d (No. 230); the cell edges are 21.720, 21.720 and 21.720 Å and the angles 90.00°, 90.00° and 90.00°. The inequivalent atoms are Cs at (0.000, 0.250, 0.125), Rb at (0.031, 0.144, 0.944), H at (0.000, 0.000, 0.000) and H at (0.000, 0.250, 0.375).

The value obtained for the raw total energy is -1.465 eV/atom. Its total magnetization is 0.0 μB/f.u.